# GGA-PBE AlHgSb2, relaxed
# - Uncorrected formation energy: 176 meV/atom
# - Total magnetization: 0.00 μB per formula unit
data_AlHgSb2
_space_group_name_H-M_alt 'P 1'
_space_group_IT_number 1
_cell_length_a 6.795
_cell_length_b 6.795
_cell_length_c 6.795
_cell_angle_alpha 146.90
_cell_angle_beta 142.16
_cell_angle_gamma 51.14
loop_
_space_group_symop_operation_xyz
'x,y,z'
loop_
_atom_site_label
_atom_site_fract_x
_atom_site_fract_y
_atom_site_fract_z
Sb1 0.001 0.001 0.000
Sb2 0.686 0.186 0.500
Hg1 0.307 0.807 0.500
Al1 0.506 0.506 0.000

# GGA-PBE LaAlVW2, relaxed
# - Formation energy from the elements: 2.469 eV per atom
# - Total magnetization: 0.01 μB per formula unit
data_LaAlVW2
_space_group_name_H-M_alt 'P 1'
_space_group_IT_number 1
_cell_length_a 4.878
_cell_length_b 4.520
_cell_length_c 4.878
_cell_angle_alpha 90.00
_cell_angle_beta 90.00
_cell_angle_gamma 90.00
loop_
_space_group_symop_operation_xyz
'x,y,z'
loop_
_atom_site_label
_atom_site_fract_x
_atom_site_fract_y
_atom_site_fract_z
V1 0.000 0.500 0.000
Al1 0.500 0.500 0.500
W1 0.000 0.000 0.500
W2 0.500 0.000 0.000
La1 0.000 0.000 0.000

Which of these has the lowest total magnetization?
AlHgSb2

Copy entry 1 word for word.
# GGA-PBE AlHgSb2, relaxed
# - Uncorrected formation energy: 176 meV/atom
# - Total magnetization: 0.00 μB per formula unit
data_AlHgSb2
_space_group_name_H-M_alt 'P 1'
_space_group_IT_number 1
_cell_length_a 6.795
_cell_length_b 6.795
_cell_length_c 6.795
_cell_angle_alpha 146.90
_cell_angle_beta 142.16
_cell_angle_gamma 51.14
loop_
_space_group_symop_operation_xyz
'x,y,z'
loop_
_atom_site_label
_atom_site_fract_x
_atom_site_fract_y
_atom_site_fract_z
Sb1 0.001 0.001 0.000
Sb2 0.686 0.186 0.500
Hg1 0.307 0.807 0.500
Al1 0.506 0.506 0.000